Density functional theory data (PBE) for a geometry-optimized CsPrTmSe3 structure.

POSCAR file:
```
CsPrTmSe3
1.0
2.2933 -8.1425 0.0000
2.2933 8.1425 0.0000
0.0000 0.0000 11.6163
Cs Pr Tm Se
2 2 2 6
direct
0.2387 0.7613 0.7500
0.7613 0.2387 0.2500
0.5000 0.5000 0.0000
0.5000 0.5000 0.5000
0.0328 0.9672 0.2500
0.9672 0.0328 0.7500
0.1206 0.8794 0.0561
0.1206 0.8794 0.4439
0.4434 0.5566 0.2500
0.5566 0.4434 0.7500
0.8794 0.1206 0.5561
0.8794 0.1206 0.9439
```

***

Density functional theory data (PBE) for a geometry-optimized CsPrTmSe3 structure.

POSCAR file:
```
CsPrTmSe3
1.0
2.4185 -8.2397 0.0000
2.4185 8.2397 0.0000
0.0000 0.0000 10.6131
Cs Pr Tm Se
2 2 2 6
direct
0.2436 0.7564 0.7500
0.7564 0.2436 0.2500
0.4945 0.5055 0.2500
0.5055 0.4945 0.7500
0.0000 0.0000 0.0000
0.0000 0.0000 0.5000
0.0805 0.9195 0.2500
0.3918 0.6082 0.0283
0.3918 0.6082 0.4717
0.6082 0.3918 0.5283
0.6082 0.3918 0.9717
0.9195 0.0805 0.7500
```

***

Density functional theory data (PBE) for a geometry-optimized CsPrYSe3 structure.

POSCAR file:
```
CsPrYSe3
1.0
2.3242 -8.1570 0.0000
2.3242 8.1570 0.0000
0.0000 0.0000 11.6057
Cs Pr Y Se
2 2 2 6
direct
0.2383 0.7617 0.7500
0.7617 0.2383 0.2500
0.5000 0.5000 0.0000
0.5000 0.5000 0.5000
0.0325 0.9675 0.2500
0.9675 0.0325 0.7500
0.1198 0.8802 0.0508
0.1198 0.8802 0.4492
0.4415 0.5585 0.2500
0.5585 0.4415 0.7500
0.8802 0.1198 0.5508
0.8802 0.1198 0.9492
```

***

Density functional theory data (PBE) for a geometry-optimized CsPrYSe3 structure.

POSCAR file:
```
CsPrYSe3
1.0
2.4589 -8.2142 0.0000
2.4589 8.2142 0.0000
0.0000 0.0000 10.5851
Cs Pr Y Se
2 2 2 6
direct
0.2392 0.7608 0.7500
0.7608 0.2392 0.2500
0.4989 0.5011 0.7500
0.5011 0.4989 0.2500
0.0000 0.0000 0.0000
0.0000 0.0000 0.5000
0.0842 0.9158 0.2500
0.3920 0.6080 0.0335
0.3920 0.6080 0.4665
0.6080 0.3920 0.5335
0.6080 0.3920 0.9665
0.9158 0.0842 0.7500
```

***

Number 1: distance to the lowest polymorph of the same formula 0 meV/atom. Number 2: distance to the lowest polymorph of the same formula 101 meV/atom. Number 3: distance to the lowest polymorph of the same formula 0 meV/atom. Number 4: distance to the lowest polymorph of the same formula 68 meV/atom.